# HfNb2HIr

A relaxed HfNb2HIr crystal (GGA-PBE, the Alexandria database).

abc: 3.926 3.926 4.858
angles: 90.00 90.00 90.00
Element x y z (fractional)
Hf  0.000  0.000  0.000
Nb  0.000  0.500  0.500
Nb  0.500  0.000  0.500
H  0.500  0.500  0.500
Ir  0.500  0.500  0.000

## Properties
The volume comes out at 14.97 Å³ per atom. As for the space group: P4/mmm, No. 123. Its magnetic moment is 0.00 Bohr magnetons per cell. As for the energy above the most stable polymorph in this dataset: 38 meV/atom.